# Zn2Ga6Sn

Crystalline Zn2Ga6Sn at its relaxed geometry (PBE, Alexandria via LeMat-Bulk).

a b c (Å): 4.182 4.182 9.945
angles (deg): 90.00 90.00 90.00
Space group P4/mmm (No. 123)
One atom of each set of equivalent atoms:
Zn 0.000 0.000 0.122
Ga 0.000 0.000 0.500
Ga 0.000 0.500 0.289
Ga 0.500 0.500 0.500
Sn 0.500 0.500 0.000

Energy above the lowest structure with this stoichiometry   8 meV per atom
Density   6376 kg/m³
Magnetic moment   0.00 μB per cell
Total energy   -0.099 hartree per atom
ΔE_f   60 meV per atom
Density of states at the Fermi level   3.62 states/eV/cell



# HoThAu4

Crystalline HoThAu4 at its relaxed geometry (PBE, Alexandria via LeMat-Bulk).

a b c (Å): 8.362 8.264 4.735
angles (deg): 90.00 124.42 90.00
Space group C2 (No. 5)
One atom of each set of equivalent atoms:
Ho 0.000 0.000 0.000
Th 0.000 0.480 0.500
Au 0.236 0.824 0.735
Au 0.244 0.655 0.244

Energy above the lowest structure with this stoichiometry   37 meV per atom
Density   14580 kg/m³
Magnetic moment   0.00 μB per cell
Total energy   -0.180 hartree per atom
ΔE_f   -720 meV per atom
Density of states at the Fermi level   8.24 states/eV/cell



# TaNbNiRh

Crystalline TaNbNiRh at its relaxed geometry (PBE, Alexandria via LeMat-Bulk).

a b c (Å): 3.224 3.224 5.982
angles (deg): 90.00 90.00 90.00
Space group P4mm (No. 99)
One atom of each set of equivalent atoms:
Ta 0.000 0.000 0.000
Nb 0.500 0.500 0.305
Ni 0.000 0.000 0.511
Rh 0.500 0.500 0.768

Density   11629 kg/m³
Magnetic moment   0.00 μB per cell
Total energy   -0.334 hartree per atom
ΔE_f   -318 meV per atom
Density of states at the Fermi level   3.06 states/eV/cell



# Ba2YSi

Crystalline Ba2YSi at its relaxed geometry (PBE, Alexandria via LeMat-Bulk).

a b c (Å): 4.892 4.892 5.495
angles (deg): 90.00 90.00 90.00
Space group P4/mmm (No. 123)
One atom of each set of equivalent atoms:
Ba 0.000 0.500 0.000
Y 0.000 0.000 0.500
Si 0.500 0.500 0.500

Density   4946 kg/m³
Magnetic moment   0.00 μB per cell
Total energy   -0.141 hartree per atom
Density of states at the Fermi level   4.38 states/eV/cell



# NaGa3Au

Crystalline NaGa3Au at its relaxed geometry (PBE, Alexandria via LeMat-Bulk).

a b c (Å): 5.100 5.100 5.100
angles (deg): 90.00 90.00 90.00
Space group Pm-3m (No. 221)
One atom of each set of equivalent atoms:
Na 0.000 0.000 0.000
Ga 0.000 0.500 0.500
Au 0.500 0.500 0.500

Energy above the lowest structure with this stoichiometry   342 meV per atom
Density   5373 kg/m³
Magnetic moment   0.00 μB per cell
Total energy   -0.097 hartree per atom
ΔE_f   107 meV per atom
Density of states at the Fermi level   3.10 states/eV/cell



# Tl2ZnCdBr6

Crystalline Tl2ZnCdBr6 at its relaxed geometry (PBE, Alexandria via LeMat-Bulk).

a b c (Å): 6.846 7.830 7.970
angles (deg): 75.05 88.34 69.25
Space group P1 (No. 1)
One atom of each set of equivalent atoms:
Tl 0.000 0.000 0.000
Tl 0.487 0.061 0.490
Zn 0.169 0.581 0.631
Cd 0.686 0.541 0.319
Br 0.026 0.920 0.595
Br 0.079 0.397 0.886
Br 0.088 0.515 0.356
Br 0.488 0.895 0.152
Br 0.561 0.467 0.643
Br 0.639 0.301 0.170

Density   4597 kg/m³
Magnetic moment   0.00 μB per cell
Total energy   -0.094 hartree per atom
Density of states at the Fermi level   0.00 states/eV/cell



# CaAcZnCu

Crystalline CaAcZnCu at its relaxed geometry (PBE, Alexandria via LeMat-Bulk).

a b c (Å): 7.515 7.515 7.515
angles (deg): 90.00 90.00 90.00
Space group F-43m (No. 216)
One atom of each set of equivalent atoms:
Ca 0.000 0.000 0.000
Ac 0.000 0.000 0.500
Zn 0.250 0.250 0.250
Cu 0.250 0.250 0.750

Energy above the lowest structure with this stoichiometry   23 meV per atom
Density   6198 kg/m³
Magnetic moment   0.00 μB per cell
Total energy   -0.111 hartree per atom
ΔE_f   -161 meV per atom
Density of states at the Fermi level   16.32 states/eV/cell



# NaSr3Ca2

Crystalline NaSr3Ca2 at its relaxed geometry (PBE, Alexandria via LeMat-Bulk).

a b c (Å): 6.487 19.520 4.484
angles (deg): 90.00 90.00 90.00
Space group Cmmm (No. 65)
One atom of each set of equivalent atoms:
Na 0.000 0.000 0.000
Sr 0.000 0.161 0.500
Sr 0.000 0.500 0.500
Ca 0.000 0.326 0.000

Energy above the lowest structure with this stoichiometry   2 meV per atom
Density   2141 kg/m³
Magnetic moment   0.00 μB per cell
Total energy   -0.063 hartree per atom
ΔE_f   20 meV per atom
Density of states at the Fermi level   9.72 states/eV/cell